1.
Computed, not measured: crystalline ThScCu2 at its relaxed geometry at the GGA-PBE level of DFT.

a = 3.347 Å, b = 3.347 Å, c = 7.099 Å
α = 90.00°, β = 90.00°, γ = 90.00°
Sites, in units of the cell vectors:
Sc: 0.500 0.500 0.000
Cu: 0.000 0.000 0.794
Cu: 0.000 0.000 0.206
Th: 0.500 0.500 0.500

Output
calculated formation energy = -0.160 eV per atom
energy above the lowest structure with this stoichiometry = 0.000 eV per atom


2.
Computed, not measured: crystalline TlCd2H at its relaxed geometry at the GGA-PBE level of DFT.

a = 5.490 Å, b = 5.490 Å, c = 7.257 Å
α = 67.77°, β = 67.77°, γ = 90.00°
Sites, in units of the cell vectors:
H: 0.500 0.500 0.000
H: 0.250 0.750 0.500
Tl: 0.000 0.000 0.000
Tl: 0.750 0.250 0.500
Cd: 0.468 0.125 0.250
Cd: 0.282 0.625 0.250
Cd: 0.375 0.532 0.750
Cd: 0.875 0.718 0.750

Output
energy above the lowest structure with this stoichiometry = 0.126 eV per atom


3.
Computed, not measured: crystalline MgAlZnAu2 at its relaxed geometry at the GGA-PBE level of DFT.

a = 4.527 Å, b = 4.527 Å, c = 5.258 Å
α = 90.00°, β = 90.00°, γ = 120.00°
Sites, in units of the cell vectors:
Mg: 0.000 0.000 0.991
Al: 0.667 0.333 0.347
Zn: 0.333 0.667 0.658
Au: 0.333 0.667 0.174
Au: 0.667 0.333 0.830

Output
calculated formation energy = -0.413 eV per atom


4.
Computed, not measured: crystalline PSCl2O at its relaxed geometry at the GGA-PBE level of DFT.

a = 4.482 Å, b = 4.482 Å, c = 4.188 Å
α = 90.00°, β = 90.00°, γ = 90.00°
Sites, in units of the cell vectors:
P: 0.500 0.500 0.500
S: 0.000 0.000 0.500
O: 0.000 0.000 0.000
Cl: 0.000 0.500 0.000
Cl: 0.500 0.000 0.000

Output
energy above the lowest structure with this stoichiometry = 0.358 eV per atom
E_form (uncorrected) = 1.039 eV per atom


5.
Computed, not measured: crystalline Th6BiTe3P2 at its relaxed geometry at the GGA-PBE level of DFT.

a = 4.306 Å, b = 8.932 Å, c = 9.891 Å
α = 104.11°, β = 102.57°, γ = 90.00°
Sites, in units of the cell vectors:
Th: 0.327 0.872 0.654
Th: 0.675 0.561 0.349
Th: 0.673 0.128 0.346
Th: 0.022 0.266 0.044
Th: 0.978 0.734 0.956
Th: 0.325 0.439 0.651
Bi: 0.500 0.000 0.000
Te: 0.500 0.500 0.000
Te: 0.843 0.164 0.686
Te: 0.157 0.836 0.314
P: 0.826 0.658 0.653
P: 0.174 0.342 0.347

Output
E_form (uncorrected) = -1.153 eV per atom


6.
Computed, not measured: crystalline Mg2TlPd6 at its relaxed geometry at the GGA-PBE level of DFT.

a = 5.004 Å, b = 7.348 Å, c = 7.063 Å
α = 126.15°, β = 117.17°, γ = 99.51°
Sites, in units of the cell vectors:
Mg: 0.665 0.666 0.331
Mg: 0.335 0.334 0.669
Tl: 0.000 0.000 0.000
Pd: 0.222 0.556 0.443
Pd: 0.897 0.224 0.777
Pd: 0.778 0.444 0.557
Pd: 0.440 0.115 0.884
Pd: 0.103 0.776 0.223
Pd: 0.560 0.885 0.116

Output
calculated formation energy = -0.417 eV per atom
energy above the lowest structure with this stoichiometry = 0.000 eV per atom


7.
Computed, not measured: crystalline PuCdBiPd at its relaxed geometry at the GGA-PBE level of DFT.

a = 5.124 Å, b = 5.124 Å, c = 5.124 Å
α = 60.00°, β = 60.00°, γ = 60.00°
Sites, in units of the cell vectors:
Cd: 0.250 0.250 0.250
Bi: 0.500 0.500 0.500
Pd: 0.750 0.750 0.750
Pu: 0.000 0.000 0.000

Output
calculated formation energy = -0.190 eV per atom


8.
Computed, not measured: crystalline LaPr2Ir at its relaxed geometry at the GGA-PBE level of DFT.

a = 6.642 Å, b = 7.415 Å, c = 10.067 Å
α = 90.00°, β = 90.00°, γ = 90.00°
Sites, in units of the cell vectors:
La: 0.649 0.542 0.250
La: 0.851 0.042 0.250
La: 0.351 0.458 0.750
La: 0.149 0.958 0.750
Pr: 0.171 0.674 0.067
Pr: 0.329 0.174 0.433
Pr: 0.829 0.326 0.567
Pr: 0.671 0.826 0.933
Pr: 0.829 0.326 0.933
Pr: 0.671 0.826 0.567
Pr: 0.171 0.674 0.433
Pr: 0.329 0.174 0.067
Ir: 0.055 0.377 0.250
Ir: 0.445 0.877 0.250
Ir: 0.945 0.623 0.750
Ir: 0.555 0.123 0.750

Output
calculated formation energy = -0.451 eV per atom
energy above the lowest structure with this stoichiometry = 0.000 eV per atom


9.
Computed, not measured: crystalline Li6Mg2InH at its relaxed geometry at the GGA-PBE level of DFT.

a = 5.496 Å, b = 7.404 Å, c = 7.597 Å
α = 42.47°, β = 68.21°, γ = 89.39°
Sites, in units of the cell vectors:
Li: 0.235 0.372 0.521
Li: 0.744 0.848 0.980
Li: 0.240 0.831 0.973
Li: 0.760 0.169 0.027
Li: 0.256 0.152 0.020
Li: 0.765 0.628 0.479
Mg: 0.809 0.224 0.381
Mg: 0.191 0.776 0.619
In: 0.500 0.500 0.000
H: 0.000 0.000 0.000


10.
Computed, not measured: crystalline Pu2PdAu3 at its relaxed geometry at the GGA-PBE level of DFT.

a = 5.753 Å, b = 5.753 Å, c = 8.961 Å
α = 100.59°, β = 100.59°, γ = 115.31°
Sites, in units of the cell vectors:
Pu: 0.250 0.750 0.500
Pu: 0.749 0.749 0.000
Pu: 0.750 0.250 0.500
Pu: 0.251 0.251 0.000
Pd: 0.333 0.333 0.666
Pd: 0.667 0.667 0.334
Au: 0.663 0.169 0.832
Au: 0.831 0.337 0.168
Au: 0.337 0.831 0.168
Au: 0.169 0.663 0.832
Au: 0.832 0.832 0.665
Au: 0.168 0.168 0.335

Output
calculated formation energy = -0.465 eV per atom


Number 1: calculated volume 79.5 Å³ per cell, DFT total energy -5.6461 eV per atom. Number 2: calculated volume 184.8 Å³ per cell, DFT total energy -1.5787 eV per atom. Number 3: calculated volume 93.3 Å³ per cell, DFT total energy -3.0457 eV per atom. Number 4: calculated volume 84.1 Å³ per cell, DFT total energy -2.5989 eV per atom. Number 5: calculated volume 359.6 Å³ per cell, DFT total energy -6.8732 eV per atom. Number 6: calculated volume 148.6 Å³ per cell, DFT total energy -4.4964 eV per atom. Number 7: calculated volume 95.1 Å³ per cell, DFT total energy -6.2702 eV per atom. Number 8: calculated volume 495.8 Å³ per cell, DFT total energy -6.2881 eV per atom. Number 9: calculated volume 175.9 Å³ per cell, DFT total energy -2.2063 eV per atom. Number 10: calculated volume 251.8 Å³ per cell, DFT total energy -7.7460 eV per atom.